No. 1
The following is a PBE calculation of a relaxed structure of K2RbAgPb, from the Alexandria database.

abc: 6.8755 6.8755 5.5117
angles: 90.00 90.00 90.00
Space group P4/mmm (No. 123)
Inequivalent atoms, fractional coordinates:
K: 0.0000 0.5000 0.0000 [2 per cell]
Rb: 0.0000 0.0000 0.5000 [1 per cell]
Ag: 0.5000 0.5000 0.5000 [1 per cell]
Pb: 0.5000 0.5000 0.0000 [1 per cell]

Properties
**Energy above the lowest structure with this stoichiometry**: 60.3 meV per atom
**Energy of formation from the pure elements**: 0.08 eV/atom

=====

No. 2
The following is a PBE calculation of a relaxed structure of K2RbAgPb, from the Alexandria database.

abc: 6.5533 6.5533 5.5274
angles: 90.00 90.00 90.00
Space group P4/mmm (No. 123)
Inequivalent atoms, fractional coordinates:
K: 0.0000 0.5000 0.0000 [2 per cell]
Rb: 0.0000 0.0000 0.5000 [1 per cell]
Ag: 0.5000 0.5000 0.0000 [1 per cell]
Pb: 0.5000 0.5000 0.5000 [1 per cell]

Properties
**Energy above the lowest structure with this stoichiometry**: 0.0 meV per atom
**Energy of formation from the pure elements**: 0.02 eV/atom

=====

No. 3
The following is a PBE calculation of a relaxed structure of KAg2PbS, from the Alexandria database.

abc: 5.3073 5.3073 7.1298
angles: 90.00 90.00 90.00
Space group P4/mmm (No. 123)
Inequivalent atoms, fractional coordinates:
K: 0.0000 0.0000 0.0000 [1 per cell]
Ag: 0.0000 0.5000 0.5000 [2 per cell]
Pb: 0.0000 0.0000 0.5000 [1 per cell]
S: 0.5000 0.5000 0.0000 [1 per cell]

Properties
**Energy relative to the elements, uncorrected**: 0.537 eV per atom

=====

No. 4
The following is a PBE calculation of a relaxed structure of KAg2SbPb, from the Alexandria database.

abc: 5.3463 5.3463 6.2249
angles: 90.00 90.00 90.00
Space group P4/mmm (No. 123)
Inequivalent atoms, fractional coordinates:
K: 0.0000 0.0000 0.0000 [1 per cell]
Ag: 0.0000 0.5000 0.5000 [2 per cell]
Sb: 0.5000 0.5000 0.0000 [1 per cell]
Pb: 0.0000 0.0000 0.5000 [1 per cell]

Properties
**Energy relative to the elements, uncorrected**: 0.612 eV per atom

=====

Here are the calculated density of states at the Fermi level numbers, same order: 2.8, 2.6, 3.8, 2.2 (states/eV per cell).